First-principles (GGA-PBE) data for a relaxed structure of Ta2MnFeTc, as listed in Alexandria.

Formation enthalpy at 0 K (kJ per mole of atoms): 87.7
Density of states at the Fermi level (states/eV per atom): 1.24

Geometry as CIF:
```
data_Ta2MnFeTc
_space_group_name_H-M_alt 'P 4/m m m'
_space_group_IT_number 123
_space_group_name_Hall '-P 4 2'
_cell_length_a 4.5804
_cell_length_b 4.5804
_cell_length_c 4.0131
_cell_angle_alpha 90.00
_cell_angle_beta 90.00
_cell_angle_gamma 90.00
loop_
_atom_site_label
_atom_site_type_symbol
_atom_site_fract_x
_atom_site_fract_y
_atom_site_fract_z
Ta1 Ta 0.0000 0.5000 0.0000
Mn1 Mn 0.0000 0.0000 0.5000
Fe1 Fe 0.0000 0.0000 0.0000
Tc1 Tc 0.5000 0.5000 0.5000
```

=====

First-principles (GGA-PBE) data for a relaxed structure of AcLaErIn, as listed in Alexandria.

Formation enthalpy at 0 K (kJ per mole of atoms): -6.6
Density of states at the Fermi level (states/eV per atom): 1.77

Geometry as CIF:
```
data_AcLaErIn
_space_group_name_H-M_alt 'F -4 3 m'
_space_group_IT_number 216
_space_group_name_Hall 'F -4 2 3'
_cell_length_a 8.0468
_cell_length_b 8.0468
_cell_length_c 8.0468
_cell_angle_alpha 90.00
_cell_angle_beta 90.00
_cell_angle_gamma 90.00
loop_
_atom_site_label
_atom_site_type_symbol
_atom_site_fract_x
_atom_site_fract_y
_atom_site_fract_z
Ac1 Ac 0.0000 0.0000 0.0000
La1 La 0.2500 0.2500 0.2500
Er1 Er 0.2500 0.2500 0.7500
In1 In 0.0000 0.0000 0.5000
```

=====

First-principles (GGA-PBE) data for a relaxed structure of NdSc3Cu, as listed in Alexandria.

Formation enthalpy at 0 K (kJ per mole of atoms): 7.7
Density of states at the Fermi level (states/eV per atom): 1.20

Geometry as CIF:
```
data_NdSc3Cu
_space_group_name_H-M_alt 'P m -3 m'
_space_group_IT_number 221
_space_group_name_Hall '-P 4 2 3'
_cell_length_a 5.0697
_cell_length_b 5.0697
_cell_length_c 5.0697
_cell_angle_alpha 90.00
_cell_angle_beta 90.00
_cell_angle_gamma 90.00
loop_
_atom_site_label
_atom_site_type_symbol
_atom_site_fract_x
_atom_site_fract_y
_atom_site_fract_z
Nd1 Nd 0.0000 0.0000 0.0000
Sc1 Sc 0.0000 0.5000 0.5000
Cu1 Cu 0.5000 0.5000 0.5000
```